(1)
KLi2Cl | GGA-PBE | relaxed

Calculated total energy ... -2.326 eV/atom
Space-group type ... No. 139
Distance to the lowest polymorph of the same formula ... 0.57 eV/f.u.
Formation energy from raw total energies ... -0.633 eV per atom
Calculated volume ... 138.58 Å³ per cell
Crystal system ... tetragonal

a = 8.101 Å, b = 8.101 Å, c = 8.101 Å
α = 149.25°, β = 149.25°, γ = 44.04°
Sites, in units of the cell vectors:
K 0.000 0.000 0.000
Li 0.250 0.750 0.500
Li 0.750 0.250 0.500
Cl 0.500 0.500 0.000

---

(2)
K3Li5Cl12 | GGA-PBE | relaxed

Calculated total energy ... -3.042 eV/atom
Space-group type ... No. 230
Formation energy from raw total energies ... -1.291 eV per atom
Calculated volume ... 2073.96 Å³ per cell
Crystal system ... cubic

a = 13.915 Å, b = 13.915 Å, c = 13.915 Å
α = 109.47°, β = 109.47°, γ = 109.47°
Sites, in units of the cell vectors:
K 0.125 0.250 0.375
K 0.125 0.375 0.750
K 0.250 0.375 0.125
K 0.250 0.875 0.625
K 0.375 0.125 0.250
K 0.375 0.750 0.125
K 0.625 0.250 0.875
K 0.625 0.875 0.750
K 0.750 0.125 0.375
K 0.750 0.625 0.875
K 0.875 0.625 0.250
K 0.875 0.750 0.625
Li 0.000 0.000 0.000
Li 0.000 0.000 0.500
Li 0.000 0.500 0.000
Li 0.000 0.500 0.500
Li 0.125 0.750 0.875
Li 0.125 0.875 0.250
Li 0.250 0.125 0.875
Li 0.250 0.625 0.375
Li 0.375 0.250 0.625
Li 0.375 0.625 0.750
Li 0.500 0.000 0.000
Li 0.500 0.000 0.500
Li 0.500 0.500 0.000
Li 0.500 0.500 0.500
Li 0.625 0.375 0.250
Li 0.625 0.750 0.375
Li 0.750 0.375 0.625
Li 0.750 0.875 0.125
Li 0.875 0.125 0.750
Li 0.875 0.250 0.125
Cl 0.017 0.205 0.094
Cl 0.017 0.312 0.923
Cl 0.077 0.594 0.389
Cl 0.077 0.983 0.688
Cl 0.094 0.017 0.205
Cl 0.094 0.577 0.889
Cl 0.111 0.705 0.688
Cl 0.111 0.906 0.423
Cl 0.188 0.205 0.611
Cl 0.188 0.483 0.577
Cl 0.205 0.094 0.017
Cl 0.205 0.611 0.188
Cl 0.295 0.312 0.889
Cl 0.295 0.483 0.406
Cl 0.312 0.889 0.295
Cl 0.312 0.923 0.017
Cl 0.389 0.077 0.594
Cl 0.389 0.812 0.795
Cl 0.406 0.295 0.483
Cl 0.406 0.611 0.923
Cl 0.423 0.111 0.906
Cl 0.423 0.812 0.517
Cl 0.483 0.406 0.295
Cl 0.483 0.577 0.188
Cl 0.517 0.423 0.812
Cl 0.517 0.594 0.705
Cl 0.577 0.188 0.483
Cl 0.577 0.889 0.094
Cl 0.594 0.389 0.077
Cl 0.594 0.705 0.517
Cl 0.611 0.188 0.205
Cl 0.611 0.923 0.406
Cl 0.688 0.077 0.983
Cl 0.688 0.111 0.705
Cl 0.705 0.517 0.594
Cl 0.705 0.688 0.111
Cl 0.795 0.389 0.812
Cl 0.795 0.906 0.983
Cl 0.812 0.517 0.423
Cl 0.812 0.795 0.389
Cl 0.889 0.094 0.577
Cl 0.889 0.295 0.312
Cl 0.906 0.423 0.111
Cl 0.906 0.983 0.795
Cl 0.923 0.017 0.312
Cl 0.923 0.406 0.611
Cl 0.983 0.688 0.077
Cl 0.983 0.795 0.906

---

(3)
KLiCl2 | GGA-PBE | relaxed

Calculated total energy ... -3.410 eV/atom
Space-group type ... No. 71
Formation energy from raw total energies ... -1.734 eV per atom
Calculated volume ... 108.45 Å³ per cell
Crystal system ... orthorhombic

a = 5.661 Å, b = 5.661 Å, c = 5.661 Å
α = 140.19°, β = 102.79°, γ = 90.59°
Sites, in units of the cell vectors:
K 0.000 0.000 0.000
Li 0.500 0.500 0.000
Cl 0.296 0.796 0.500
Cl 0.704 0.204 0.500